Model A:
## Pu2NiH (GGA-PBE)

Data for an optimized crystal structure of Pu2NiH.

* magnetization: 11.5 Bohr magnetons per cell
* SG: P4/mmm (123)
* theoretical density: 13.81 g/cm3

Lattice parameters (Å, degrees): 3.0912 3.0912 6.8926 90.00 90.00 90.00
Each line ends with the local moment (μB).
Atoms (fractional coordinates):
Ni  0.5000  0.5000  0.0000  0.06
H  0.5000  0.5000  0.5000  -0.03
Pu  0.0000  0.0000  0.7304  5.48
Pu  0.0000  0.0000  0.2696  5.48

***

Model B:
## Pu2NiH (GGA-PBE)

Data for an optimized crystal structure of Pu2NiH.

* magnetization: 9.7 Bohr magnetons per cell
* SG: R-3m (166)
* theoretical density: 14.98 g/cm3

Lattice parameters (Å, degrees): 2.9728 2.9728 8.1164 79.45 79.45 60.00
Each line ends with the local moment (μB).
Atoms (fractional coordinates):
Ni  0.5000  0.5000  0.5000  0.26
H  0.0000  0.0000  0.0000  -0.02
Pu  0.7369  0.7369  0.7894  4.62
Pu  0.2631  0.2631  0.2106  4.62

***

Stability check: which of them is least stable? model B.

***

Model A:
## ReNi3H (GGA-PBE)

Data for an optimized crystal structure of ReNi3H.

* magnetization: 0.8 Bohr magnetons per cell
* SG: Pm-3m (221)
* theoretical density: 6.46 g/cm3

Lattice parameters (Å, degrees): 4.5367 4.5367 4.5367 90.00 90.00 90.00
Each line ends with the local moment (μB).
Atoms (fractional coordinates):
Re  0.0000  0.0000  0.0000  0.13
H  0.5000  0.5000  0.5000  0.26
Ni  0.0000  0.5000  0.0000  0.05
Ni  0.0000  0.0000  0.5000  0.05
Ni  0.5000  0.0000  0.0000  0.04

***

Model B:
## ReNi3H (GGA-PBE)

Data for an optimized crystal structure of ReNi3H.

* magnetization: 3.3 Bohr magnetons per cell
* SG: Pm-3m (221)
* theoretical density: 12.04 g/cm3

Lattice parameters (Å, degrees): 3.6865 3.6865 3.6865 90.00 90.00 90.00
Each line ends with the local moment (μB).
Atoms (fractional coordinates):
Re  0.5000  0.5000  0.5000  1.33
H  0.0000  0.0000  0.0000  -0.01
Ni  0.0000  0.5000  0.0000  0.57
Ni  0.0000  0.0000  0.5000  0.52
Ni  0.5000  0.0000  0.0000  0.77

***

Stability check: which of them is least stable? model A.

***

Model A:
## ReNiH2 (GGA-PBE)

Data for an optimized crystal structure of ReNiH2.

* magnetization: 0.0 Bohr magnetons per cell
* SG: I-42d (122)
* theoretical density: 12.72 g/cm3

Lattice parameters (Å, degrees): 4.0373 4.0373 4.8783 65.56 65.56 90.00
Atoms (fractional coordinates):
Re  0.0000  0.0000  0.0000
Re  0.7500  0.2500  0.5000
H  0.5836  0.1250  0.2500
H  0.1664  0.6250  0.2500
H  0.3750  0.4164  0.7500
H  0.8750  0.8336  0.7500
Ni  0.5000  0.5000  0.0000
Ni  0.2500  0.7500  0.5000

***

Model B:
## ReNiH2 (GGA-PBE)

Data for an optimized crystal structure of ReNiH2.

* magnetization: 1.2 Bohr magnetons per cell
* SG: Fm-3m (225)
* theoretical density: 12.75 g/cm3

Lattice parameters (Å, degrees): 3.5695 3.5695 3.5695 60.00 60.00 60.00
Each line ends with the local moment (μB).
Atoms (fractional coordinates):
Re  0.5000  0.5000  0.5000  0.94
H  0.2500  0.2500  0.2500  -0.01
H  0.7500  0.7500  0.7500  -0.01
Ni  0.0000  0.0000  0.0000  0.28

***

Stability check: which of them is least stable? model B.

***

Model A:
## ReNi2HRu (GGA-PBE)

Data for an optimized crystal structure of ReNi2HRu.

* magnetization: 0.0 Bohr magnetons per cell
* SG: P4/mmm (123)
* theoretical density: 12.73 g/cm3

Lattice parameters (Å, degrees): 3.7167 3.7167 3.8295 90.00 90.00 90.00
Atoms (fractional coordinates):
Re  0.5000  0.5000  0.5000
Ni  0.0000  0.5000  0.0000
Ni  0.5000  0.0000  0.0000
H  0.0000  0.0000  0.0000
Ru  0.0000  0.0000  0.5000

***

Model B:
## ReNi2HRu (GGA-PBE)

Data for an optimized crystal structure of ReNi2HRu.

* magnetization: 0.0 Bohr magnetons per cell
* SG: P4/mmm (123)
* theoretical density: 12.70 g/cm3

Lattice parameters (Å, degrees): 3.6967 3.6967 3.8829 90.00 90.00 90.00
Atoms (fractional coordinates):
Re  0.0000  0.0000  0.5000
Ni  0.0000  0.5000  0.0000
Ni  0.5000  0.0000  0.0000
H  0.0000  0.0000  0.0000
Ru  0.5000  0.5000  0.5000

***

Stability check: which of them is least stable? model A.

***

Model A:
## TaRe2NiH (GGA-PBE)

Data for an optimized crystal structure of TaRe2NiH.

* magnetization: 0.0 Bohr magnetons per cell
* SG: P4/mmm (123)
* theoretical density: 16.73 g/cm3

Lattice parameters (Å, degrees): 3.9883 3.9883 3.8261 90.00 90.00 90.00
Atoms (fractional coordinates):
Re  0.0000  0.5000  0.0000
Re  0.5000  0.0000  0.0000
Ni  0.0000  0.0000  0.5000
H  0.0000  0.0000  0.0000
Ta  0.5000  0.5000  0.5000

***

Model B:
## TaRe2NiH (GGA-PBE)

Data for an optimized crystal structure of TaRe2NiH.

* magnetization: 0.0 Bohr magnetons per cell
* SG: P4/mmm (123)
* theoretical density: 16.76 g/cm3

Lattice parameters (Å, degrees): 3.8868 3.8868 4.0194 90.00 90.00 90.00
Atoms (fractional coordinates):
Re  0.0000  0.5000  0.0000
Re  0.5000  0.0000  0.0000
Ni  0.5000  0.5000  0.5000
H  0.0000  0.0000  0.0000
Ta  0.0000  0.0000  0.5000

***

Stability check: which of them is least stable? model B.

***

Model A:
## Ta2ReNiH (GGA-PBE)

Data for an optimized crystal structure of Ta2ReNiH.

* magnetization: 0.0 Bohr magnetons per cell
* SG: P4/mmm (123)
* theoretical density: 15.68 g/cm3

Lattice parameters (Å, degrees): 4.3709 4.3709 3.3693 90.00 90.00 90.00
Atoms (fractional coordinates):
Re  0.5000  0.5000  0.5000
Ni  0.0000  0.0000  0.5000
H  0.0000  0.0000  0.0000
Ta  0.0000  0.5000  0.0000
Ta  0.5000  0.0000  0.0000

***

Model B:
## Ta2ReNiH (GGA-PBE)

Data for an optimized crystal structure of Ta2ReNiH.

* magnetization: 0.0 Bohr magnetons per cell
* SG: P4/mmm (123)
* theoretical density: 15.53 g/cm3

Lattice parameters (Å, degrees): 4.1709 4.1709 3.7353 90.00 90.00 90.00
Atoms (fractional coordinates):
Re  0.0000  0.0000  0.5000
Ni  0.5000  0.5000  0.5000
H  0.0000  0.0000  0.0000
Ta  0.0000  0.5000  0.0000
Ta  0.5000  0.0000  0.0000

***

Stability check: which of them is least stable? model B.

***

Model A:
## ReTc2NiH (GGA-PBE)

Data for an optimized crystal structure of ReTc2NiH.

* magnetization: 0.0 Bohr magnetons per cell
* SG: P4/mmm (123)
* theoretical density: 12.87 g/cm3

Lattice parameters (Å, degrees): 3.9227 3.9227 3.7054 90.00 90.00 90.00
Atoms (fractional coordinates):
Re  0.5000  0.5000  0.5000
Tc  0.0000  0.5000  0.0000
Tc  0.5000  0.0000  0.0000
H  0.0000  0.0000  0.0000
Ni  0.0000  0.0000  0.5000

***

Model B:
## ReTc2NiH (GGA-PBE)

Data for an optimized crystal structure of ReTc2NiH.

* magnetization: 0.0 Bohr magnetons per cell
* SG: P4/mmm (123)
* theoretical density: 12.73 g/cm3

Lattice parameters (Å, degrees): 3.8577 3.8577 3.8741 90.00 90.00 90.00
Atoms (fractional coordinates):
Re  0.0000  0.0000  0.5000
Tc  0.0000  0.5000  0.0000
Tc  0.5000  0.0000  0.0000
H  0.0000  0.0000  0.0000
Ni  0.5000  0.5000  0.5000

***

Stability check: which of them is least stable? model B.

***

Model A:
## ReTcNi2H (GGA-PBE)

Data for an optimized crystal structure of ReTcNi2H.

* magnetization: 0.0 Bohr magnetons per cell
* SG: P4/mmm (123)
* theoretical density: 12.54 g/cm3

Lattice parameters (Å, degrees): 3.6826 3.6826 3.9298 90.00 90.00 90.00
Atoms (fractional coordinates):
Re  0.5000  0.5000  0.5000
Tc  0.0000  0.0000  0.5000
H  0.0000  0.0000  0.0000
Ni  0.0000  0.5000  0.0000
Ni  0.5000  0.0000  0.0000

***

Model B:
## ReTcNi2H (GGA-PBE)

Data for an optimized crystal structure of ReTcNi2H.

* magnetization: 0.0 Bohr magnetons per cell
* SG: P4/mmm (123)
* theoretical density: 12.51 g/cm3

Lattice parameters (Å, degrees): 3.6827 3.6827 3.9417 90.00 90.00 90.00
Atoms (fractional coordinates):
Re  0.0000  0.0000  0.5000
Tc  0.5000  0.5000  0.5000
H  0.0000  0.0000  0.0000
Ni  0.0000  0.5000  0.0000
Ni  0.5000  0.0000  0.0000

***

Stability check: which of them is least stable? model B.